The following is a DFT calculation (PBE-GGA) of a geometry-optimized CaLaTb2Te4 structure.

Calculated values
ΔE_f (raw) = -1.45 eV per atom
total energy = -5.05 eV per atom
calculated volume = 250.3 Å³/cell

Cell: 7.7242 4.4270 7.7460 Å, 90.00 109.07 90.00°
Closest atoms and distances in Å follow each position.
Space group P2/m (No. 10)
Asymmetric unit:
Ca  0.0000  0.0000  0.0000  6 Te 3.16-3.17
La  0.0000  0.5000  0.5000  6 Te 3.21-3.22
Tb  0.5000  0.0000  0.5000  6 Te 3.14
Tb  0.5000  0.5000  0.0000  6 Te 3.09
Te  0.2575  0.5000  0.2476  3 Tb 3.09-3.14, 2 Ca 3.17, 1 La 3.21
Te  0.2606  0.0000  0.7592  3 Tb 3.09-3.14, 1 Ca 3.16, 2 La 3.22